Record 1
NaAl4Zn6 | PBE | optimized geometry

Summary:
As for the density of states at the Fermi level: 2.62 states/eV/f.u. Its magnetization is 0.0 μB per formula unit. As for the raw total energy: -2.111 eV per atom. The formation energy is 6.3 kJ/mol of atoms.

a b c (Å): 7.4851 7.4851 4.1353
angles (deg): 90.00 90.00 120.00
Closest atoms and distances in Å follow each position.
Space group P-6m2 (No. 187)
One atom of each set of equivalent atoms:
Na 0.0000 0.0000 0.0000  6 Zn 3.32, 6 Al 3.36
Al 0.3333 0.6667 0.0000  9 Zn 2.59-2.70
Al 0.4089 0.2045 0.5000  6 Zn 2.62-2.68, 2 Al 2.89
Zn 0.1999 0.3999 0.5000  4 Al 2.62-2.70
Zn 0.5333 0.0667 0.0000  5 Al 2.59-2.68

---

Record 2
Tc2RuRh | PBE | optimized geometry

Summary:
As for the density of states at the Fermi level: 2.24 states/eV/f.u. Its magnetization is 0.0 μB per formula unit. The offset from the most stable computed form comes out at 0.0 meV per atom. As for the raw total energy: -9.472 eV per atom. The formation energy is -12.8 kJ/mol of atoms.

a b c (Å): 2.7356 4.3561 4.7647
angles (deg): 90.00 90.00 90.00
Closest atoms and distances in Å follow each position.
Space group Pmm2 (No. 25)
One atom of each set of equivalent atoms:
Tc 0.0000 0.0000 0.0000  4 Tc 2.69-2.74, 4 Rh 2.69, 4 Ru 2.73-2.77
Tc 0.0000 0.5000 0.3296  4 Tc 2.69-2.74, 4 Ru 2.69, 4 Rh 2.72-2.77
Ru 0.5000 0.0000 0.4950  8 Tc 2.69-2.77, 2 Rh 2.72, 2 Ru 2.74
Rh 0.5000 0.5000 0.8362  8 Tc 2.69-2.77, 2 Ru 2.72, 2 Rh 2.74

---

Record 3
ZrTe2Ru | PBE | optimized geometry

Summary:
As for the density of states at the Fermi level: 1.64 states/eV/f.u. Its magnetization is 0.0 μB per formula unit. The offset from the most stable computed form comes out at 195.0 meV per atom. As for the raw total energy: -6.300 eV per atom. The calculation puts the energy relative to the elements, uncorrected at -0.27 eV per atom.

a b c (Å): 4.8159 4.8159 3.4789
angles (deg): 90.00 90.00 90.00
Closest atoms and distances in Å follow each position.
Space group P4/mmm (No. 123)
One atom of each set of equivalent atoms:
Zr 0.0000 0.0000 0.0000  8 Te 2.97
Te 0.0000 0.5000 0.5000  4 Zr 2.97, 4 Ru 2.97
Ru 0.5000 0.5000 0.0000  8 Te 2.97

---

Record 4
Sr2ZnIn2Hg4 | PBE | optimized geometry

Summary:
As for the density of states at the Fermi level: 5.51 states/eV/f.u. Its magnetization is 0.0 μB per formula unit. As for the raw total energy: -1.538 eV per atom. The formation energy is -27.0 kJ/mol of atoms.

a b c (Å): 7.1283 7.1283 9.7377
angles (deg): 90.00 90.00 90.00
Closest atoms and distances in Å follow each position.
Space group I4/mmm (No. 139)
One atom of each set of equivalent atoms:
Sr 0.0000 0.5000 0.2500  8 Hg 3.51, 4 In 3.58
Zn 0.0000 0.0000 0.0000  4 Hg 2.72, 2 In 2.81
In 0.0000 0.0000 0.2885  1 Zn 2.81, 4 Hg 3.10
Hg 0.2301 0.2301 0.5000  1 Zn 2.72

---

Record 5
InSiGeN2 | PBE | optimized geometry

Summary:
As for the density of states at the Fermi level: 2.17 states/eV/f.u. Its magnetization is 0.0 μB per formula unit. As for the raw total energy: -4.999 eV per atom. The calculation puts the energy relative to the elements, uncorrected at 0.89 eV per atom.

a b c (Å): 3.6571 3.6571 5.8674
angles (deg): 90.00 90.00 90.00
Closest atoms and distances in Å follow each position.
Space group P4/mmm (No. 123)
One atom of each set of equivalent atoms:
In 0.0000 0.0000 0.0000  4 Ge 2.59
Si 0.0000 0.0000 0.5000  4 N 1.83
Ge 0.5000 0.5000 0.0000  4 In 2.59
N 0.0000 0.5000 0.5000  2 Si 1.83

---

Record 6
InPb2Au | PBE | optimized geometry

Summary:
As for the density of states at the Fermi level: 2.16 states/eV/f.u. Its magnetization is 0.0 μB per formula unit. As for the raw total energy: -3.375 eV per atom. The formation energy is -1.7 kJ/mol of atoms.

a b c (Å): 3.6168 4.5357 13.6540
angles (deg): 90.00 90.00 90.00
Closest atoms and distances in Å follow each position.
Space group Immm (No. 71)
One atom of each set of equivalent atoms:
In 0.0000 0.0000 0.0000  4 Au 2.90
Pb 0.0000 0.5000 0.1853  2 Au 3.11, 4 Pb 3.40, 2 In 3.40
Au 0.0000 0.0000 0.5000  4 In 2.90, 4 Pb 3.11

---

Record 7
AgGeTe2N | PBE | optimized geometry

Summary:
As for the density of states at the Fermi level: 4.14 states/eV/f.u. Its magnetization is 1.6 μB per formula unit. The offset from the most stable computed form comes out at 415.7 meV per atom. As for the raw total energy: -3.358 eV per atom. The calculation puts the energy relative to the elements, uncorrected at 1.06 eV per atom.

a b c (Å): 5.6005 5.6005 3.9742
angles (deg): 90.00 90.00 90.00
Closest atoms and distances in Å follow each position.
Space group P4/mmm (No. 123)
One atom of each set of equivalent atoms:
Ag 0.0000 0.0000 0.0000  2 N 1.99
Ge 0.5000 0.5000 0.5000  8 Te 3.43
Te 0.0000 0.5000 0.0000  2 Ag 2.80
N 0.0000 0.0000 0.5000  2 Ag 1.99

---

Record 8
Ac2CeAgO6 | PBE | optimized geometry

Summary:
As for the density of states at the Fermi level: 7.01 states/eV/f.u. Its magnetization is 0.9 μB per formula unit. As for the raw total energy: -7.147 eV per atom. The calculation puts the energy relative to the elements, uncorrected at -2.47 eV per atom.

a b c (Å): 5.6776 5.6776 5.6089
angles (deg): 90.00 90.00 90.00
Closest atoms and distances in Å follow each position.
Space group P4mm (No. 99)
One atom of each set of equivalent atoms:
Ac 0.0000 0.5000 0.0000  4 O 2.48
Ce 0.0000 0.0000 0.5706  5 O 2.17-2.21
Ag 0.5000 0.5000 0.5500  5 O 2.18-2.33
O 0.0000 0.0000 0.1771  1 Ce 2.21
O 0.2423 0.2423 0.7414  1 Ce 2.17, 1 Ag 2.33
O 0.5000 0.5000 0.1610  1 Ag 2.18

---

Record 9
ZrTe2Br | PBE | optimized geometry

Summary:
As for the density of states at the Fermi level: 2.43 states/eV/f.u. Its magnetization is 0.0 μB per formula unit. The offset from the most stable computed form comes out at 345.5 meV per atom. As for the raw total energy: -4.520 eV per atom. The calculation puts the energy relative to the elements, uncorrected at -0.39 eV per atom.

a b c (Å): 10.4372 3.7650 5.7988
angles (deg): 90.00 103.65 90.00
Closest atoms and distances in Å follow each position.
Space group C2/m (No. 12)
One atom of each set of equivalent atoms:
Zr 0.0000 0.0000 0.0000  4 Te 2.94
Te 0.2139 0.5000 0.1974  2 Zr 2.94, 1 Br 3.15, 2 Te 3.19
Br 0.0000 0.5000 0.5000  2 Te 3.15, 4 Zr 3.46

---

Record 10
CsNaSr2P | PBE | optimized geometry

Summary:
As for the density of states at the Fermi level: 3.92 states/eV/f.u. Its magnetization is 0.0 μB per formula unit. As for the raw total energy: -2.455 eV per atom. The formation energy is -25.6 kJ/mol of atoms.

a b c (Å): 6.0354 6.0354 6.4597
angles (deg): 90.00 90.00 90.00
Closest atoms and distances in Å follow each position.
Space group P4/mmm (No. 123)
One atom of each set of equivalent atoms:
Cs 0.0000 0.0000 0.0000  4 Na 4.27, 8 Sr 4.42
Na 0.5000 0.5000 0.0000  2 P 3.23
Sr 0.0000 0.5000 0.5000  2 P 3.02
P 0.5000 0.5000 0.5000  4 Sr 3.02, 2 Na 3.23

---

Record 11
RbCdAg2Br4 | PBE | optimized geometry

Summary:
As for the density of states at the Fermi level: 3.25 states/eV/f.u. Its magnetization is 0.0 μB per formula unit. As for the raw total energy: -2.421 eV per atom. The calculation puts the energy relative to the elements, uncorrected at -0.64 eV per atom.

a b c (Å): 9.7985 9.8443 12.6296
angles (deg): 90.00 90.00 90.00
Closest atoms and distances in Å follow each position.
Space group Fmm2 (No. 42)
One atom of each set of equivalent atoms:
Rb 0.0000 0.0000 0.0000  4 Br 3.38
Cd 0.0000 0.0000 0.5028  4 Br 2.86
Ag 0.2500 0.2500 0.2518  4 Br 2.77
Br 0.0000 0.2154 0.3510  2 Ag 2.77, 1 Cd 2.86
Br 0.2172 0.0000 0.6537  2 Ag 2.77, 1 Cd 2.86

---

Record 12
FeCu2HAu | PBE | optimized geometry

Summary:
As for the density of states at the Fermi level: 4.69 states/eV/f.u. Its magnetization is 2.4 μB per formula unit. As for the raw total energy: -4.513 eV per atom.

a b c (Å): 3.9114 3.9114 3.6927
angles (deg): 90.00 90.00 90.00
Closest atoms and distances in Å follow each position.
Space group P4/mmm (No. 123)
One atom of each set of equivalent atoms:
Fe 0.0000 0.0000 0.0000  2 H 1.85
Cu 0.0000 0.5000 0.5000  2 H 1.96
H 0.0000 0.0000 0.5000  2 Fe 1.85, 4 Cu 1.96
Au 0.5000 0.5000 0.0000  8 Cu 2.69, 4 Fe 2.77